A plane-wave DFT calculation with GGA-PBEsol was carried out for CaP2H4O8 after structural relaxation.

Computed properties:
Raw total energy: -195.71 eV/cell

a = 5.491 Å, b = 8.034 Å, c = 7.973 Å
α = 101.96°, β = 105.39°, γ = 101.60°
Atoms (fractional coordinates):
Ca 0.191 0.346 0.469
Ca 0.809 0.654 0.531
P 0.766 0.292 0.715
P 0.427 0.240 0.162
P 0.573 0.760 0.838
P 0.234 0.708 0.285
H 0.861 0.975 0.802
H 0.107 0.197 0.819
H 0.549 0.339 0.951
H 0.500 0.000 0.000
H 0.000 0.500 0.000
H 0.451 0.661 0.049
H 0.893 0.803 0.181
H 0.139 0.025 0.198
O 0.919 0.139 0.732
O 0.371 0.293 0.978
O 0.483 0.209 0.607
O 0.795 0.388 0.915
O 0.148 0.145 0.170
O 0.590 0.107 0.150
O 0.928 0.419 0.640
O 0.469 0.599 0.677
O 0.531 0.401 0.323
O 0.072 0.581 0.360
O 0.410 0.893 0.850
O 0.852 0.855 0.830
O 0.205 0.612 0.085
O 0.517 0.791 0.393
O 0.629 0.707 0.022
O 0.081 0.861 0.268